First-principles (PBE) data for an optimized crystal structure of DyY4Tl2, as listed in the Alexandria database.

Cell: 10.062 10.062 10.062 Å, 30.46 30.46 30.46°
Fractional coordinates of all 7 atoms:
Dy 0.000 0.000 0.000
Y 0.214 0.214 0.214
Y 0.380 0.380 0.380
Y 0.620 0.620 0.620
Y 0.786 0.786 0.786
Tl 0.104 0.104 0.104
Tl 0.896 0.896 0.896

Output
* density of states at the Fermi level: 1.0221 states/eV per atom
* space-group type: R-3m (166)
* uncorrected energy: -4.979 eV/atom